Entry 1:
Here is crystalline Li5Ag6Rh at its relaxed geometry from Alexandria. Energies are from GGA-PBE.

Values from the calculation:
magnetic moment = 0.00 μB per formula unit
SG = C2/m
total DFT energy (no corrections) = -2.99 eV per atom

Cell and atoms, written as POSCAR:
```
Li5Ag6Rh
1.0
3.896 -6.664 0.000
3.896 6.664 0.000
-2.537 0.000 3.660
Li Ag Rh
5 6 1
Direct
0.000 0.000 0.000 Li
0.168 0.832 0.500 Li
0.345 0.655 0.000 Li
0.655 0.345 0.000 Li
0.832 0.168 0.500 Li
0.077 0.414 0.245 Ag
0.240 0.240 0.741 Ag
0.414 0.077 0.245 Ag
0.586 0.923 0.755 Ag
0.760 0.760 0.259 Ag
0.923 0.586 0.755 Ag
0.500 0.500 0.500 Rh
```

***

Entry 2:
Here is crystalline Zn2SbPt at its relaxed geometry from Alexandria. Energies are from GGA-PBE.

Values from the calculation:
formation energy from raw total energies = -0.166 eV per atom
magnetic moment = 0.00 μB per formula unit
SG = R3m

Cell and atoms, written as POSCAR:
```
Zn2SbPt
1.0
2.155 1.244 4.877
-2.155 1.244 4.877
0.000 -2.489 4.877
Zn Sb Pt
2 1 1
Direct
0.000 0.000 0.000 Zn
0.218 0.218 0.218 Zn
0.434 0.434 0.434 Sb
0.616 0.616 0.616 Pt
```

***

Entry 3:
Here is crystalline Sc2NbB2Ir5 at its relaxed geometry from Alexandria. Energies are from GGA-PBE.

Values from the calculation:
magnetic moment = 0.00 μB per formula unit
SG = P4/mbm
total DFT energy (no corrections) = -8.79 eV per atom

Cell and atoms, written as POSCAR:
```
Sc2NbB2Ir5
1.0
9.396 0.000 0.000
0.000 9.396 0.000
0.000 0.000 3.236
Sc Nb B Ir
4 2 4 10
Direct
0.176 0.324 0.000 Sc
0.324 0.824 0.000 Sc
0.676 0.176 0.000 Sc
0.824 0.676 0.000 Sc
0.000 0.000 0.000 Nb
0.500 0.500 0.000 Nb
0.120 0.620 0.000 B
0.380 0.120 0.000 B
0.620 0.880 0.000 B
0.880 0.380 0.000 B
0.000 0.500 0.500 Ir
0.072 0.780 0.500 Ir
0.220 0.072 0.500 Ir
0.280 0.572 0.500 Ir
0.428 0.280 0.500 Ir
0.500 0.000 0.500 Ir
0.572 0.720 0.500 Ir
0.720 0.428 0.500 Ir
0.780 0.928 0.500 Ir
0.928 0.220 0.500 Ir
```